Entry 1:
DFT (PBE) results for a relaxed AcDyZnAu crystal.

Output
The value obtained for the electronic total energy is -15.22 eV/cell.

Cell: 5.324 5.324 5.324 Å, 60.00 60.00 60.00°
Fractional coordinates of all 4 atoms:
Ac 0.000 0.000 0.000
Dy 0.500 0.500 0.500
Zn 0.250 0.250 0.250
Au 0.750 0.750 0.750

---

Entry 2:
DFT (PBE) results for a relaxed RbGaAs crystal.

Output
The value obtained for the electronic total energy is -9.46 eV/cell.

Cell: 4.211 4.211 6.001 Å, 90.00 90.00 120.00°
Fractional coordinates of all 3 atoms:
Rb 0.000 0.000 0.000
Ga 0.667 0.333 0.436
As 0.333 0.667 0.569

---

Entry 3:
DFT (PBE) results for a relaxed Th3BiRuN crystal.

Output
The value obtained for the electronic total energy is -97.98 eV/cell.

Cell: 9.077 4.187 9.418 Å, 90.00 105.46 90.00°
Fractional coordinates of all 12 atoms:
Th 0.056 0.250 0.344
Th 0.328 0.250 0.970
Th 0.365 0.750 0.649
Th 0.635 0.250 0.351
Th 0.672 0.750 0.030
Th 0.944 0.750 0.656
Bi 0.321 0.750 0.264
Bi 0.679 0.250 0.736
Ru 0.152 0.250 0.649
Ru 0.848 0.750 0.351
N 0.417 0.750 0.903
N 0.583 0.250 0.097

---

Entry 4:
DFT (PBE) results for a relaxed Li5B8C8 crystal.

Output
The value obtained for the electronic total energy is -138.96 eV/cell.

Cell: 2.740 2.740 27.457 Å, 90.00 90.00 120.00°
Fractional coordinates of all 21 atoms:
Li 0.000 0.000 0.000
Li 0.000 0.000 0.128
Li 0.000 0.000 0.257
Li 0.000 0.000 0.743
Li 0.000 0.000 0.872
B 0.333 0.667 0.064
B 0.333 0.667 0.322
B 0.333 0.667 0.594
B 0.333 0.667 0.807
B 0.667 0.333 0.193
B 0.667 0.333 0.406
B 0.667 0.333 0.678
B 0.667 0.333 0.936
C 0.333 0.667 0.192
C 0.333 0.667 0.407
C 0.333 0.667 0.680
C 0.333 0.667 0.936
C 0.667 0.333 0.064
C 0.667 0.333 0.320
C 0.667 0.333 0.593
C 0.667 0.333 0.808

---

Entry 5:
DFT (PBE) results for a relaxed KY2Tl2 crystal.

Output
The value obtained for the electronic total energy is -39.20 eV/cell.

Cell: 9.488 9.488 3.470 Å, 90.00 90.00 90.00°
Fractional coordinates of all 10 atoms:
K 0.000 0.000 0.000
K 0.500 0.500 0.000
Y 0.126 0.374 0.000
Y 0.374 0.874 0.000
Y 0.626 0.126 0.000
Y 0.874 0.626 0.000
Tl 0.173 0.673 0.500
Tl 0.327 0.173 0.500
Tl 0.673 0.827 0.500
Tl 0.827 0.327 0.500

---

Entry 6:
DFT (PBE) results for a relaxed Ac2In3SnAu4 crystal.

Output
The value obtained for the electronic total energy is -39.39 eV/cell.

Cell: 4.834 4.834 11.064 Å, 90.00 90.00 90.00°
Fractional coordinates of all 10 atoms:
Ac 0.000 0.500 0.239
Ac 0.500 0.000 0.761
In 0.000 0.500 0.875
In 0.500 0.000 0.125
In 0.500 0.500 0.500
Sn 0.000 0.000 0.500
Au 0.000 0.000 0.000
Au 0.000 0.500 0.632
Au 0.500 0.000 0.368
Au 0.500 0.500 0.000

---

> electronic total energy of number 2 (RbGaAs)?

-9.46 eV/cell

---

> Look up the electronic total energy of the second one.

-9.46 eV/cell

---

> Which value of electronic total energy does entry 2 give?

-9.46 eV/cell